{
  "formula": "YRuPb2I",
  "functional": "PBE",
  "state": "optimized geometry",
  "lattice_angstrom": [[5.9872, 0.0000, 0.0000], [0.0000, 5.7168, 0.0000], [0.0000, 0.0000, 5.9872]],
  "species": ["Pb", "Pb", "I", "Y", "Ru"],
  "fractional_positions": [[0.0000, 0.0000, 0.5000], [0.5000, 0.0000, 0.0000], [0.0000, 0.5000, 0.0000], [0.0000, 0.0000, 0.0000], [0.5000, 0.5000, 0.5000]],
  "raw_formation_energy_mev_per_atom": 1112.0,
  "sg": "No. 123",
  "n_ef_per_ev_cell": 6.33
}